Entry 1:
Here is KNa2AcBr6 after structural relaxation from Alexandria via LeMat-Bulk. Energies are from GGA-PBE.

Summary:
As for the volume: 37.0 Å³ per atom. The uncorrected formation energy is -17.81 eV/f.u. The calculation puts the density of states at the Fermi level at 0.0 states/eV per cell. For the theoretical density, the calculation gives 3.56 g/cm³. The total magnetic moment is 0.0 μB/f.u.

a = 7.7901 Å, b = 7.7901 Å, c = 21.0959 Å
α = 90.00°, β = 90.00°, γ = 120.00°
With the nearest neighbours (Å) after each atom.
Space group R3 (No. 146, hexagonal axes)
Symmetry-distinct sites (fractional):
K  0.0000  0.0000  0.0000 x3  6 Br 3.28-3.41
Na  0.0000  0.0000  0.2902 x3  6 Br 3.00-3.12
Na  0.0000  0.0000  0.7989 x3  6 Br 2.98-3.09
Ac  0.0000  0.0000  0.4884 x3  6 Br 3.05-3.06
Br  0.0076  0.3193  0.8877 x9  2 Na 3.00-3.09, 1 Ac 3.05
Br  0.0201  0.6201  0.0580 x9  2 Na 2.98-3.12, 1 Ac 3.06, 1 K 3.28

Entry 2:
Here is Nb2CN after structural relaxation from Alexandria via LeMat-Bulk. Energies are from GGA-PBE.

Summary:
As for the volume: 11.4 Å³ per atom. The uncorrected formation energy is -2.90 eV/f.u. The calculation puts the density of states at the Fermi level at 6.8 states/eV per cell. For the theoretical density, the calculation gives 7.74 g/cm³. The total magnetic moment is 0.0 μB/f.u.

a = 3.0945 Å, b = 3.0945 Å, c = 16.4421 Å
α = 90.00°, β = 90.00°, γ = 120.00°
With the nearest neighbours (Å) after each atom.
Space group R3m (No. 160, hexagonal axes)
Symmetry-distinct sites (fractional):
Nb  0.0000  0.0000  0.0000 x3  3 C 2.19, 3 N 2.34
Nb  0.0000  0.0000  0.1770 x3  3 C 2.21, 3 N 2.27
C  0.0000  0.0000  0.5894 x3  6 Nb 2.19-2.21
N  0.0000  0.0000  0.7584 x3  6 Nb 2.27-2.34

Entry 3:
Here is Pm5Pb6 after structural relaxation from Alexandria via LeMat-Bulk. Energies are from GGA-PBE.

Summary:
As for the volume: 32.1 Å³ per atom. For the formation energy, the calculation gives -0.388 eV/atom. The calculation puts the density of states at the Fermi level at 17.1 states/eV per cell. For the theoretical density, the calculation gives 9.24 g/cm³. The total magnetic moment is 0.0 μB/f.u.

a = 6.4407 Å, b = 14.8516 Å, c = 7.8127 Å
α = 90.00°, β = 108.86°, γ = 90.00°
With the nearest neighbours (Å) after each atom.
Space group C2/m (No. 12)
Symmetry-distinct sites (fractional):
Pm  0.0000  0.0000  0.0000 x2  6 Pb 3.23-3.46
Pm  0.0000  0.3047  0.0000 x4  6 Pb 3.24-3.32, 2 Pm 3.61
Pm  0.0000  0.3471  0.5000 x4  6 Pb 3.24-3.32
Pb  0.0250  0.1509  0.7088 x8  2 Pb 3.17-3.39, 5 Pm 3.23-3.32
Pb  0.0609  0.5000  0.2175 x4  3 Pb 3.23-3.39, 5 Pm 3.28-3.46

Entry 4:
Here is AgRuAu2 after structural relaxation from Alexandria via LeMat-Bulk. Energies are from GGA-PBE.

Summary:
As for the volume: 16.9 Å³ per atom. For the formation energy, the calculation gives 0.292 eV/atom. The calculation puts the density of states at the Fermi level at 7.3 states/eV per cell. For the theoretical density, the calculation gives 14.80 g/cm³. The total magnetic moment is 0.4 μB/f.u.

a = 2.8346 Å, b = 2.8346 Å, c = 29.1608 Å
α = 90.00°, β = 90.00°, γ = 120.00°
With the nearest neighbours (Å) after each atom.
Space group R3m (No. 160, hexagonal axes)
Symmetry-distinct sites (fractional):
Ag  0.0000  0.0000  0.0000 x3  6 Ag 2.83, 3 Ru 2.86, 3 Au 2.99
Ru  0.0000  0.0000  0.7471 x3  6 Ru 2.83, 3 Au 2.84, 3 Ag 2.86
Au  0.0000  0.0000  0.2475 x3  9 Au 2.83-3.04, 3 Ag 2.99
Au  0.0000  0.0000  0.4932 x3  9 Au 2.83-3.04, 3 Ru 2.84

Entry 5:
Here is CoB2Ru after structural relaxation from Alexandria via LeMat-Bulk. Energies are from GGA-PBE.

Summary:
As for the volume: 9.8 Å³ per atom. For the formation energy, the calculation gives 0.244 eV/atom. The calculation puts the density of states at the Fermi level at 12.9 states/eV per cell. For the theoretical density, the calculation gives 7.66 g/cm³. The total magnetic moment is 0.0 μB/f.u.

a = 5.3869 Å, b = 5.3869 Å, c = 5.4286 Å
α = 90.00°, β = 90.00°, γ = 90.00°
With the nearest neighbours (Å) after each atom.
Space group I-42d (No. 122)
Symmetry-distinct sites (fractional):
Co  0.0000  0.0000  0.0000 x4  4 B 1.95
B  0.2288  0.2500  0.1250 x8  2 Co 1.95, 2 Ru 2.10
Ru  0.0000  0.0000  0.5000 x4  4 B 2.10

Entry 6:
Here is Cr3InPb after structural relaxation from Alexandria via LeMat-Bulk. Energies are from GGA-PBE.

Summary:
As for the volume: 27.1 Å³ per atom. For the formation energy, the calculation gives 1.328 eV/atom. The calculation puts the density of states at the Fermi level at 4.6 states/eV per cell. For the theoretical density, the calculation gives 5.86 g/cm³. The total magnetic moment is 12.4 μB/f.u.

a = 5.1353 Å, b = 5.1353 Å, c = 5.1353 Å
α = 90.00°, β = 90.00°, γ = 90.00°
With the nearest neighbours (Å) after each atom.
Space group Pm-3m (No. 221)
Symmetry-distinct sites (fractional):
Cr  0.0000  0.0000  0.5000 x3  2 In 2.57
In  0.0000  0.0000  0.0000 x1  6 Cr 2.57
Pb  0.5000  0.5000  0.5000 x1  12 Cr 3.63

Entry 7:
Here is Cs3Pu2HfS6 after structural relaxation from Alexandria via LeMat-Bulk. Energies are from GGA-PBE.

Summary:
As for the volume: 28.7 Å³ per atom. The uncorrected formation energy is -18.13 eV/f.u. The calculation puts the density of states at the Fermi level at 44.2 states/eV per cell. For the theoretical density, the calculation gives 6.07 g/cm³. The total magnetic moment is 11.0 μB/f.u.

a = 7.0363 Å, b = 12.1839 Å, c = 8.3662 Å
α = 90.00°, β = 106.28°, γ = 90.00°
With the nearest neighbours (Å) after each atom.
Space group C2/m (No. 12)
Symmetry-distinct sites (fractional):
Cs  0.0000  0.0000  0.0000 x2  6 S 3.44-3.59
Cs  0.0000  0.3306  0.0000 x4  6 S 3.44-3.58
Pu  0.0000  0.1665  0.5000 x4  6 S 2.82
Hf  0.0000  0.5000  0.5000 x2  6 S 2.62
S  0.2150  0.3445  0.6783 x8  1 Hf 2.62, 2 Pu 2.82
S  0.2490  0.0000  0.6797 x4  1 Hf 2.62, 2 Pu 2.82

Entry 8:
Here is Er4Se3S2 after structural relaxation from Alexandria via LeMat-Bulk. Energies are from GGA-PBE.

Summary:
As for the volume: 23.9 Å³ per atom. The uncorrected formation energy is -16.61 eV/f.u. The calculation puts the density of states at the Fermi level at 5.2 states/eV per cell. For the theoretical density, the calculation gives 7.48 g/cm³. The total magnetic moment is 0.0 μB/f.u.

a = 13.5082 Å, b = 3.7780 Å, c = 8.5391 Å
α = 90.00°, β = 98.77°, γ = 90.00°
With the nearest neighbours (Å) after each atom.
Space group C2/m (No. 12)
Symmetry-distinct sites (fractional):
Er  0.0719  0.0000  0.1784 x4  2 S 2.72, 5 Se 2.95-3.05
Er  0.1561  0.5000  0.6100 x4  3 S 2.68-2.75, 3 Se 2.78-2.88
Se  0.0000  0.0000  0.5000 x2  6 Er 2.88-3.05
Se  0.0951  0.5000  0.9072 x4  5 Er 2.78-3.04
S  0.2047  0.5000  0.3089 x4  5 Er 2.68-2.75

Entry 9:
Here is Er4Cd3Au after structural relaxation from Alexandria via LeMat-Bulk. Energies are from GGA-PBE.

Summary:
As for the volume: 24.8 Å³ per atom. For the formation energy, the calculation gives -0.462 eV/atom. The calculation puts the density of states at the Fermi level at 4.5 states/eV per cell. For the theoretical density, the calculation gives 10.07 g/cm³. The total magnetic moment is 0.0 μB/f.u.

a = 3.6682 Å, b = 3.6682 Å, c = 14.7381 Å
α = 90.00°, β = 90.00°, γ = 90.00°
With the nearest neighbours (Å) after each atom.
Space group P4/mmm (No. 123)
Symmetry-distinct sites (fractional):
Er  0.0000  0.0000  0.1152 x2  4 Au 3.10, 4 Cd 3.24, 1 Er 3.40
Er  0.0000  0.0000  0.3717 x2  8 Cd 3.18-3.21
Cd  0.5000  0.5000  0.2470 x2  8 Er 3.18-3.24
Cd  0.5000  0.5000  0.5000 x1  8 Er 3.21
Au  0.5000  0.5000  0.0000 x1  8 Er 3.10

Entry 10:
Here is Tm5Sb4Ru after structural relaxation from Alexandria via LeMat-Bulk. Energies are from GGA-PBE.

Summary:
As for the volume: 27.4 Å³ per atom. The uncorrected formation energy is -7.59 eV/f.u. The calculation puts the density of states at the Fermi level at 12.1 states/eV per cell. For the theoretical density, the calculation gives 8.69 g/cm³. The total magnetic moment is 0.0 μB/f.u.

a = 9.4699 Å, b = 9.4699 Å, c = 6.1036 Å
α = 90.00°, β = 90.00°, γ = 90.00°
With the nearest neighbours (Å) after each atom.
Space group I4 (No. 79)
Symmetry-distinct sites (fractional):
Tm  0.0000  0.0000  0.0000 x2  1 Ru 2.75, 4 Sb 3.06
Tm  0.0927  0.7267  0.6339 x8  1 Ru 2.78, 4 Sb 3.04-3.10
Sb  0.0880  0.7019  0.1369 x8  6 Tm 3.04-3.15
Ru  0.0000  0.0000  0.5497 x2  5 Tm 2.75-2.78

Entry 11:
Here is TmAg2HgF6 after structural relaxation from Alexandria via LeMat-Bulk. Energies are from GGA-PBE.

Summary:
As for the volume: 16.7 Å³ per atom. The uncorrected formation energy is -21.98 eV/f.u. The calculation puts the density of states at the Fermi level at 3.4 states/eV per cell. For the theoretical density, the calculation gives 6.95 g/cm³. The total magnetic moment is 0.0 μB/f.u.

a = 5.7001 Å, b = 5.7917 Å, c = 5.9837 Å
α = 110.35°, β = 112.27°, γ = 93.47°
With the nearest neighbours (Å) after each atom.
Space group P1 (No. 1)
Symmetry-distinct sites (fractional):
Tm  0.0000  0.0000  0.0000 x1  6 F 2.13-2.20
Ag  0.3344  0.6639  0.5059 x1  3 F 2.33-2.44
Ag  0.7115  0.2941  0.5507 x1  5 F 2.45-2.53
Hg  0.5865  0.5008  0.1781 x1  2 F 2.34-2.49
F  0.0079  0.7929  0.6316 x1  1 Tm 2.13, 1 Ag 2.33
F  0.0406  0.2714  0.3718 x1  1 Tm 2.15
F  0.1087  0.3213  0.9314 x1  1 Tm 2.14
F  0.3621  0.9264  0.2204 x1  1 Tm 2.15
F  0.6170  0.0787  0.8159 x1  1 Tm 2.20, 1 Ag 2.44
F  0.7425  0.6701  0.9459 x1  1 Tm 2.19, 1 Hg 2.34

Entry 12:
Here is Pm5SnBi4 after structural relaxation from Alexandria via LeMat-Bulk. Energies are from GGA-PBE.

Summary:
As for the volume: 33.5 Å³ per atom. For the formation energy, the calculation gives -0.866 eV/atom. The calculation puts the density of states at the Fermi level at 7.8 states/eV per cell. For the theoretical density, the calculation gives 8.31 g/cm³. The total magnetic moment is 0.0 μB/f.u.

a = 10.1985 Å, b = 10.1985 Å, c = 6.4509 Å
α = 90.00°, β = 90.00°, γ = 90.00°
With the nearest neighbours (Å) after each atom.
Space group I4/m (No. 87)
Symmetry-distinct sites (fractional):
Pm  0.0000  0.0000  0.0000 x2  2 Sn 3.23, 4 Bi 3.23
Pm  0.1000  0.2972  0.5000 x8  1 Sn 3.20, 5 Bi 3.23-3.24
Sn  0.0000  0.0000  0.5000 x2  6 Pm 3.20-3.23
Bi  0.0983  0.3009  0.0000 x8  6 Pm 3.23-3.24

Question: Which value of total magnetic moment does entry 1 give?
Answer: 0.0 μB/f.u.

Question: Which value of theoretical density does entry 1 give?
Answer: 3.56 g/cm³

Question: density of states at the Fermi level of number 2 (Nb2CN)?
Answer: 6.8 states/eV per cell